Record 1
Compound: Na2CdGeN
Source: Alexandria via LeMat-Bulk
Functional: GGA-PBE
Structure: optimized geometry

## Properties
* symmetry: P4/mmm
* N(E_F): 1.3870 states/eV per atom
* uncorrected energy: -9.65 eV for the cell shown
* E_form (uncorrected): 1.369 eV per atom

```
5
Lattice="5.596 0.000 0.000 0.000 4.843 0.000 0.000 0.000 5.596" Properties=species:S:1:pos:R:3 pbc="T T T"
N 2.798 2.422 2.798
Na 2.798 0.000 0.000
Na 0.000 0.000 2.798
Cd 0.000 0.000 0.000
Ge 0.000 2.422 0.000
```

***

Record 2
Compound: Sr2Sb4Pt3Au
Source: Alexandria via LeMat-Bulk
Functional: GGA-PBE
Structure: optimized geometry

## Properties
* symmetry: P-4m2
* N(E_F): 0.5483 states/eV per atom
* uncorrected energy: -48.57 eV for the cell shown
* E_form (uncorrected): -0.732 eV per atom

```
10
Lattice="-3.245 2.001 -2.888 -3.479 -2.381 2.260 -1.101 8.128 6.867" Properties=species:S:1:pos:R:3 pbc="T T T"
Sb -2.144 1.798 3.655
Sb -2.319 6.140 2.898
Sb -3.362 -0.190 -0.314
Sb 0.000 0.000 0.000
Pt -1.873 -0.205 1.962
Pt -0.550 4.064 3.434
Pt -2.590 8.144 4.591
Sr -2.555 4.830 6.217
Sr -1.908 3.108 0.336
Au -3.913 3.874 3.119
```

***

Record 3
Compound: RuRhO4
Source: Alexandria via LeMat-Bulk
Functional: GGA-PBE
Structure: optimized geometry

## Properties
* symmetry: I4_1md
* N(E_F): 0.3620 states/eV per atom
* uncorrected energy: -83.70 eV for the cell shown
* E_form (uncorrected): -0.898 eV per atom

```
12
Lattice="-4.081 -3.127 -2.028 4.275 -3.111 1.612 -1.911 2.785 4.375" Properties=species:S:1:pos:R:3 pbc="T T T"
O -1.079 -3.164 0.254
O -4.845 -0.299 1.896
O -3.400 -1.690 -0.078
O -1.147 -0.088 0.448
O -0.641 -0.245 3.708
O 1.693 -1.764 4.065
O -2.495 -1.815 2.214
O 0.766 -1.636 1.717
Ru 0.048 -1.559 -0.104
Ru -2.900 -3.289 0.966
Rh -2.996 -0.172 1.173
Rh 0.145 -4.680 -0.312
```

***

Record 4
Compound: DyPuTlIr
Source: Alexandria via LeMat-Bulk
Functional: GGA-PBE
Structure: optimized geometry

## Properties
* ΔE_f: -0.248 eV/atom
* symmetry: F-43m
* N(E_F): 2.0413 states/eV per atom
* uncorrected energy: -31.15 eV for the cell shown

```
4
Lattice="5.107 0.000 0.000 2.554 4.423 0.000 2.554 1.474 4.170" Properties=species:S:1:pos:R:3 pbc="T T T"
Pu 2.554 1.474 1.042
Dy 7.661 4.423 3.127
Tl 5.107 2.949 2.085
Ir 0.000 0.000 0.000
```